[1]
{"formula": "CuReHg3", "functional": "PBE", "state": "optimized geometry", "cell": [[4.970, 0.000, 0.000], [0.000, 4.970, 0.000], [0.000, 0.000, 4.970]], "species": ["Cu", "Re", "Hg", "Hg", "Hg"], "frac_coords": [[0.000, 0.000, 0.000], [0.500, 0.500, 0.500], [0.000, 0.000, 0.500], [0.000, 0.500, 0.000], [0.500, 0.000, 0.000]], "rho_g_cm3": 11.5, "formation_energy_mev_per_atom": 1339, "de_polymorph_mev_per_atom": 45.0, "m_tot_mub_per_cell": 4.303}

[2]
{"formula": "Sr2LiTlH", "functional": "PBE", "state": "optimized geometry", "cell": [[5.386, 0.000, 0.000], [0.000, 5.386, 0.000], [0.000, 0.000, 4.764]], "species": ["Sr", "Sr", "Li", "Tl", "H"], "frac_coords": [[0.000, 0.500, 0.000], [0.500, 0.000, 0.000], [0.000, 0.000, 0.500], [0.500, 0.500, 0.500], [0.500, 0.500, 0.000]], "rho_g_cm3": 4.7, "de_polymorph_mev_per_atom": 185.6, "m_tot_mub_per_cell": 0.000}

[3]
{"formula": "HfZr2V", "functional": "PBE", "state": "optimized geometry", "cell": [[3.346, 0.000, 0.000], [0.000, 3.346, 0.000], [0.000, 0.000, 7.389]], "species": ["Hf", "Zr", "Zr", "V"], "frac_coords": [[0.000, 0.000, 0.000], [0.500, 0.500, 0.278], [0.500, 0.500, 0.722], [0.000, 0.000, 0.500]], "rho_g_cm3": 8.3, "formation_energy_mev_per_atom": 135, "de_polymorph_mev_per_atom": 0.0, "m_tot_mub_per_cell": 2.122}

[4]
{"formula": "FeRe2Cl", "functional": "PBE", "state": "optimized geometry", "cell": [[2.847, 0.000, 0.000], [-1.423, 2.465, 0.000], [0.000, 0.000, 25.918]], "species": ["Fe", "Fe", "Fe", "Re", "Re", "Re", "Re", "Re", "Re", "Cl", "Cl", "Cl"], "frac_coords": [[0.000, 0.000, 0.000], [0.333, 0.667, 0.667], [0.667, 0.333, 0.333], [0.000, 0.000, 0.497], [0.000, 0.000, 0.751], [0.333, 0.667, 0.164], [0.333, 0.667, 0.418], [0.667, 0.333, 0.085], [0.667, 0.333, 0.831], [0.000, 0.000, 0.266], [0.333, 0.667, 0.933], [0.667, 0.333, 0.600]], "e_form_raw_ev_per_atom": 0.304, "rho_g_cm3": 12.7, "de_polymorph_mev_per_atom": 0.0, "m_tot_mub_per_cell": 9.503}

[5]
{"formula": "ReIrRu4Rh2", "functional": "PBE", "state": "optimized geometry", "cell": [[4.715, 0.000, 0.000], [0.000, 2.717, 0.000], [-1.581, 0.000, 8.875]], "species": ["Re", "Ir", "Ru", "Ru", "Ru", "Ru", "Rh", "Rh"], "frac_coords": [[0.000, 0.000, 0.000], [0.500, 0.500, 0.000], [0.245, 0.500, 0.247], [0.246, 0.000, 0.751], [0.754, 0.000, 0.249], [0.755, 0.500, 0.753], [0.000, 0.500, 0.500], [0.500, 0.000, 0.500]], "rho_g_cm3": 14.4, "formation_energy_mev_per_atom": 12, "m_tot_mub_per_cell": 0.000}

[6]
{"formula": "Os2RhBr", "functional": "PBE", "state": "optimized geometry", "cell": [[2.844, 0.000, 0.000], [-1.422, 2.463, 0.000], [0.000, 0.000, 26.582]], "species": ["Os", "Os", "Os", "Os", "Os", "Os", "Rh", "Rh", "Rh", "Br", "Br", "Br"], "frac_coords": [[0.000, 0.000, 0.247], [0.000, 0.000, 0.753], [0.333, 0.667, 0.420], [0.333, 0.667, 0.914], [0.667, 0.333, 0.086], [0.667, 0.333, 0.580], [0.000, 0.000, 0.500], [0.333, 0.667, 0.167], [0.667, 0.333, 0.833], [0.000, 0.000, 0.000], [0.333, 0.667, 0.667], [0.667, 0.333, 0.333]], "e_form_raw_ev_per_atom": 0.899, "rho_g_cm3": 15.1, "de_polymorph_mev_per_atom": 289.5, "m_tot_mub_per_cell": 0.000}

[7]
{"formula": "Dy3InHg5", "functional": "PBE", "state": "optimized geometry", "cell": [[8.956, 0.000, 0.000], [-4.478, 7.756, 0.000], [0.000, 0.000, 6.368]], "species": ["Dy", "Dy", "Dy", "Dy", "Dy", "Dy", "In", "In", "Hg", "Hg", "Hg", "Hg", "Hg", "Hg", "Hg", "Hg", "Hg", "Hg"], "frac_coords": [[0.000, 0.339, 0.250], [0.000, 0.661, 0.750], [0.339, 0.000, 0.250], [0.339, 0.339, 0.750], [0.661, 0.000, 0.750], [0.661, 0.661, 0.250], [0.000, 0.000, 0.000], [0.000, 0.000, 0.500], [0.000, 0.329, 0.750], [0.000, 0.671, 0.250], [0.329, 0.000, 0.750], [0.329, 0.329, 0.250], [0.333, 0.667, 0.000], [0.333, 0.667, 0.500], [0.667, 0.333, 0.000], [0.667, 0.333, 0.500], [0.671, 0.000, 0.250], [0.671, 0.671, 0.750]], "rho_g_cm3": 12.1, "formation_energy_mev_per_atom": -421, "m_tot_mub_per_cell": 0.000}

[8]
{"formula": "Na5Si2Te5", "functional": "PBE", "state": "optimized geometry", "cell": [[6.905, -2.363, 0.000], [6.905, 2.363, 0.000], [-3.923, 0.000, 11.529]], "species": ["Na", "Na", "Na", "Na", "Na", "Si", "Si", "Te", "Te", "Te", "Te", "Te"], "frac_coords": [[0.000, 0.000, 0.000], [0.157, 0.157, 0.550], [0.246, 0.246, 0.858], [0.754, 0.754, 0.142], [0.843, 0.843, 0.450], [0.444, 0.444, 0.702], [0.556, 0.556, 0.298], [0.154, 0.154, 0.289], [0.396, 0.396, 0.115], [0.500, 0.500, 0.500], [0.604, 0.604, 0.885], [0.846, 0.846, 0.711]], "e_form_raw_ev_per_atom": -0.484, "rho_g_cm3": 3.6, "m_tot_mub_per_cell": 0.000}

[9]
{"formula": "DyThPtAu", "functional": "PBE", "state": "optimized geometry", "cell": [[4.450, 0.000, 0.000], [0.000, 3.871, 0.000], [0.000, 0.000, 11.357]], "species": ["Dy", "Dy", "Th", "Th", "Pt", "Pt", "Au", "Au"], "frac_coords": [[0.000, 0.000, 0.000], [0.000, 0.500, 0.500], [0.500, 0.000, 0.275], [0.500, 0.500, 0.775], [0.000, 0.000, 0.740], [0.000, 0.500, 0.240], [0.500, 0.000, 0.553], [0.500, 0.500, 0.053]], "rho_g_cm3": 13.4, "formation_energy_mev_per_atom": -1048, "de_polymorph_mev_per_atom": 0.0, "m_tot_mub_per_cell": 0.000}

[10]
{"formula": "BeNi2P", "functional": "PBE", "state": "optimized geometry", "cell": [[3.007, 0.000, 0.000], [0.000, 3.007, 0.000], [0.000, 0.000, 4.582]], "species": ["Be", "Ni", "Ni", "P"], "frac_coords": [[0.000, 0.000, 0.000], [0.000, 0.000, 0.506], [0.500, 0.500, 0.189], [0.500, 0.500, 0.703]], "rho_g_cm3": 6.3, "formation_energy_mev_per_atom": -328, "de_polymorph_mev_per_atom": 29.1, "m_tot_mub_per_cell": 0.000}

[11]
{"formula": "HoMgSc2", "functional": "PBE", "state": "optimized geometry", "cell": [[7.427, 0.000, 0.000], [0.000, 7.427, 0.000], [0.000, 0.000, 7.427]], "species": ["Ho", "Ho", "Ho", "Ho", "Mg", "Mg", "Mg", "Mg", "Sc", "Sc", "Sc", "Sc", "Sc", "Sc", "Sc", "Sc"], "frac_coords": [[0.000, 0.000, 0.000], [0.000, 0.500, 0.500], [0.500, 0.000, 0.500], [0.500, 0.500, 0.000], [0.000, 0.000, 0.500], [0.000, 0.500, 0.000], [0.500, 0.000, 0.000], [0.500, 0.500, 0.500], [0.250, 0.250, 0.250], [0.250, 0.250, 0.750], [0.250, 0.750, 0.250], [0.250, 0.750, 0.750], [0.750, 0.250, 0.250], [0.750, 0.250, 0.750], [0.750, 0.750, 0.250], [0.750, 0.750, 0.750]], "rho_g_cm3": 4.5, "formation_energy_mev_per_atom": 103, "de_polymorph_mev_per_atom": 97.4, "m_tot_mub_per_cell": 2.200}

[12]
{"formula": "PrSm10Ho6", "functional": "PBE", "state": "optimized geometry", "cell": [[9.785, 0.000, 0.000], [-4.892, 8.474, 0.000], [0.000, 0.000, 6.874]], "species": ["Pr", "Sm", "Sm", "Sm", "Sm", "Sm", "Sm", "Sm", "Sm", "Sm", "Sm", "Ho", "Ho", "Ho", "Ho", "Ho", "Ho"], "frac_coords": [[0.000, 0.000, 0.000], [0.000, 0.277, 0.318], [0.000, 0.723, 0.682], [0.277, 0.000, 0.318], [0.277, 0.277, 0.682], [0.333, 0.667, 0.000], [0.333, 0.667, 0.500], [0.667, 0.333, 0.000], [0.667, 0.333, 0.500], [0.723, 0.000, 0.682], [0.723, 0.723, 0.318], [0.000, 0.374, 0.806], [0.000, 0.626, 0.194], [0.374, 0.000, 0.806], [0.374, 0.374, 0.194], [0.626, 0.000, 0.194], [0.626, 0.626, 0.806]], "rho_g_cm3": 7.7, "formation_energy_mev_per_atom": 133, "m_tot_mub_per_cell": 0.000}

[13]
{"formula": "TiTc2Ni2", "functional": "PBE", "state": "optimized geometry", "cell": [[6.232, 0.000, 0.000], [0.000, 6.232, 0.000], [0.000, 0.000, 3.510]], "species": ["Ti", "Ti", "Tc", "Tc", "Tc", "Tc", "Ni", "Ni", "Ni", "Ni"], "frac_coords": [[0.000, 0.000, 0.000], [0.500, 0.500, 0.000], [0.161, 0.339, 0.500], [0.339, 0.839, 0.500], [0.661, 0.161, 0.500], [0.839, 0.661, 0.500], [0.131, 0.631, 0.000], [0.369, 0.131, 0.000], [0.631, 0.869, 0.000], [0.869, 0.369, 0.000]], "rho_g_cm3": 8.8, "formation_energy_mev_per_atom": 16, "de_polymorph_mev_per_atom": 0.0, "m_tot_mub_per_cell": 0.000}